No. 1
NaLi2Ac2Tl5 | PBE | relaxed

```
data_NaLi2Ac2Tl5
_cell_length_a 11.489
_cell_length_b 11.489
_cell_length_c 4.201
_cell_angle_alpha 90.00
_cell_angle_beta 90.00
_cell_angle_gamma 90.00
_space_group_name_H-M_alt 'P 4/m b m'
_space_group_IT_number 127
_space_group_name_Hall '-P 4 2ab'
loop_
_atom_site_label
_atom_site_fract_x
_atom_site_fract_y
_atom_site_fract_z
_atom_site_occupancy
Na1 0.000 0.000 0.000 1
Li1 0.113 0.387 0.000 1
Ac1 0.181 0.681 0.000 1
Tl1 0.000 0.500 0.500 1
Tl2 0.063 0.210 0.500 1
```

Calculated values
- energy of formation (eV per atom) = -0.2690
- density (Mg/m³) = 9.060
- DFT total energy (eV/cell) = -55.77
- total magnetic moment (μB/cell) = 0.00

---

No. 2
NaLiAcZn | PBE | relaxed

```
data_NaLiAcZn
_cell_length_a 7.633
_cell_length_b 7.633
_cell_length_c 7.633
_cell_angle_alpha 90.00
_cell_angle_beta 90.00
_cell_angle_gamma 90.00
_space_group_name_H-M_alt 'F -4 3 m'
_space_group_IT_number 216
_space_group_name_Hall 'F -4 2 3'
loop_
_atom_site_label
_atom_site_fract_x
_atom_site_fract_y
_atom_site_fract_z
_atom_site_occupancy
Na1 0.000 0.000 0.000 1
Li1 0.250 0.250 0.750 1
Ac1 0.000 0.000 0.500 1
Zn1 0.250 0.250 0.250 1
```

Calculated values
- energy of formation (eV per atom) = 0.0482
- density (Mg/m³) = 4.814
- DFT total energy (eV/cell) = -33.69
- total magnetic moment (μB/cell) = 0.00

---

No. 3
Li2Ac3NbO8 | PBE | relaxed

```
data_Li2Ac3NbO8
_cell_length_a 5.6991
_cell_length_b 5.6991
_cell_length_c 7.1863
_cell_angle_alpha 90.00
_cell_angle_beta 90.00
_cell_angle_gamma 120.00
_space_group_name_H-M_alt 'P -3 m 1'
_space_group_IT_number 164
_space_group_name_Hall '-P 3 2"'
loop_
_atom_site_label
_atom_site_fract_x
_atom_site_fract_y
_atom_site_fract_z
_atom_site_occupancy
Li1 0.3333 0.6667 0.2026 1
Ac1 0.0000 0.0000 0.0000 1
Ac2 0.3333 0.6667 0.6508 1
Nb1 0.0000 0.0000 0.5000 1
O1 0.1613 0.3226 0.3298 1
O2 0.3333 0.6667 0.9522 1
```

Calculated values
- density (Mg/m³) = 7.523
- DFT total energy (eV/cell) = -104.67
- total magnetic moment (μB/cell) = 0.00
- formation energy (no corrections) (eV per atom) = -2.7704